Entry 1:
ScInAs2 (meta-GGA SCAN, single point on PBEsol structure); D(E_F) = 0.369 states/eV/atom; symmetry = No. 38; energy of formation = -0.66 eV/atom
1.0
3.856 0.000 0.000
0.000 1.817 6.301
0.000 -1.817 6.301
Sc In As
1 1 2
Direct
0.000 0.000 0.000 Sc
0.500 0.238 0.238 In
0.000 0.670 0.670 As
0.500 0.446 0.446 As

=====

Entry 2:
Sc2InAs (meta-GGA SCAN, single point on PBEsol structure); D(E_F) = 0.803 states/eV/atom; symmetry = No. 47; energy of formation = -0.66 eV/atom
1.0
3.873 0.000 0.000
0.000 4.529 0.000
0.000 0.000 4.558
Sc In As
2 1 1
Direct
0.000 0.000 0.000 Sc
0.000 0.500 0.500 Sc
0.500 0.000 0.500 In
0.500 0.500 0.000 As

=====

Entry 3:
ScIn2As (meta-GGA SCAN, single point on PBEsol structure); D(E_F) = 0.311 states/eV/atom; symmetry = No. 6; energy of formation = -0.52 eV/atom
1.0
3.684 0.000 0.000
0.000 3.685 0.000
-0.008 0.000 6.775
Sc In As
1 2 1
Direct
0.000 0.000 0.000 Sc
0.002 0.000 0.559 In
0.501 0.500 0.312 In
0.500 0.500 0.906 As

=====

Entry 4:
ScInAs (meta-GGA SCAN, single point on PBEsol structure); D(E_F) = 0.900 states/eV/atom; symmetry = No. 216; energy of formation = -0.29 eV/atom
1.0
0.000 3.290 3.290
3.290 0.000 3.290
3.290 3.290 0.000
Sc In As
1 1 1
Direct
0.000 0.000 0.000 Sc
0.250 0.250 0.250 In
0.750 0.750 0.750 As

=====

Entry 5:
InAs2Se (meta-GGA SCAN, single point on PBEsol structure); D(E_F) = 0.508 states/eV/atom; symmetry = No. 123; E_form (uncorrected) = 0.375 eV/atom
1.0
4.876 0.000 0.000
0.000 4.876 0.000
0.000 0.000 3.418
In As Se
1 2 1
Direct
0.000 0.000 0.000 In
0.000 0.500 0.500 As
0.500 0.000 0.500 As
0.500 0.500 0.000 Se

=====

Entry 6:
InAs2Se (meta-GGA SCAN, single point on PBEsol structure); D(E_F) = 0.449 states/eV/atom; symmetry = No. 47; E_form (uncorrected) = 0.376 eV/atom
1.0
3.459 0.000 0.000
0.000 4.015 0.000
0.000 0.000 6.219
In As Se
1 2 1
Direct
0.000 0.000 0.000 In
0.500 0.500 0.300 As
0.500 0.500 0.700 As
0.000 0.000 0.500 Se

=====

Entry 7:
InAs2Se (meta-GGA SCAN, single point on PBEsol structure); D(E_F) = 0.338 states/eV/atom; symmetry = No. 123; E_form (uncorrected) = -0.106 eV/atom
1.0
3.973 0.000 0.000
0.000 3.973 0.000
0.000 0.000 5.497
In As Se
1 2 1
Direct
0.000 0.000 0.000 In
0.000 0.000 0.500 As
0.500 0.500 0.500 As
0.500 0.500 0.000 Se

=====

Entry 8:
InTeAsSe2 (meta-GGA SCAN, single point on PBEsol structure); D(E_F) = 1.031 states/eV/atom; symmetry = No. 123; E_form (uncorrected) = 0.658 eV/atom
1.0
5.108 0.000 0.000
0.000 5.108 0.000
0.000 0.000 5.194
In Te As Se
1 1 1 2
Direct
0.000 0.000 0.000 In
0.500 0.500 0.500 Te
0.000 0.000 0.500 As
0.000 0.500 0.000 Se
0.500 0.000 0.000 Se

=====

Entry 9:
InAsWSe2 (meta-GGA SCAN, single point on PBEsol structure); D(E_F) = 0.460 states/eV/atom; symmetry = No. 123; E_form (uncorrected) = 1.585 eV/atom
1.0
5.056 0.000 0.000
0.000 5.056 0.000
0.000 0.000 5.007
In As W Se
1 1 1 2
Direct
0.000 0.000 0.000 In
0.000 0.000 0.500 As
0.500 0.500 0.500 W
0.000 0.500 0.000 Se
0.500 0.000 0.000 Se

=====

Entry 10:
ZnInAs2Se (meta-GGA SCAN, single point on PBEsol structure); D(E_F) = 0.791 states/eV/atom; symmetry = No. 123; E_form (uncorrected) = 0.517 eV/atom
1.0
4.792 0.000 0.000
0.000 4.792 0.000
0.000 0.000 4.988
Zn In As Se
1 1 2 1
Direct
0.000 0.000 0.000 Zn
0.500 0.500 0.500 In
0.000 0.500 0.000 As
0.500 0.000 0.000 As
0.000 0.000 0.500 Se

=====

Entry 11:
InSiAs2 (meta-GGA SCAN, single point on PBEsol structure); D(E_F) = 0.479 states/eV/atom; symmetry = No. 160; E_form (uncorrected) = 0.220 eV/atom
1.0
1.871 1.080 6.698
-1.871 1.080 6.698
0.000 -2.160 6.698
In Si As
1 1 2
Direct
0.000 0.000 0.000 In
0.760 0.760 0.760 Si
0.245 0.245 0.245 As
0.492 0.492 0.492 As

=====

Entry 12:
SrInAs (meta-GGA SCAN, single point on PBEsol structure); symmetry = No. 156; energy of formation = -0.81 eV/atom
1.0
4.286 0.000 0.000
-2.143 3.712 0.000
0.000 0.000 5.484
Sr In As
1 1 1
Direct
0.000 0.000 0.000 Sr
0.667 0.333 0.440 In
0.333 0.667 0.672 As